{"formula": "PrCoTe", "functional": "PBE-GGA", "state": "optimized geometry", "n_ef_per_ev_cell": 5.3, "spacegroup": "Amm2 (38)", "e_form_raw_ev_per_atom": -0.13, "crystal_system": "orthorhombic", "energy_ev_per_cell": -30.85, "cell": [[-3.2325, -1.9657, 0.3128], [1.8271, 0.1318, -3.3264], [6.0696, -9.5108, 2.9571]], "species": ["Co", "Co", "Pr", "Pr", "Te", "Te"], "fractional_positions": [[0.6108, 0.2216, 0.0000], [0.2784, 0.5567, 0.5000], [0.6112, 0.2223, 0.3439], [0.6112, 0.2223, 0.6561], [0.2776, 0.5551, 0.8702], [0.2776, 0.5551, 0.1298]]}